Record 1
## Ho3SnC (GGA-PBE)

Data for crystalline Ho3SnC at its relaxed geometry.

abc: 4.8578 4.8578 4.8578
angles: 90.00 90.00 90.00
Atoms (fractional coordinates):
C  0.0000  0.0000  0.0000
Ho  0.5000  0.0000  0.0000
Ho  0.0000  0.5000  0.0000
Ho  0.0000  0.0000  0.5000
Sn  0.5000  0.5000  0.5000

## Properties
Total energy ... -6.04 eV per atom
SG ... Pm-3m, No. 221

=====

Record 2
## ErMgZn2Ir4 (GGA-PBE)

Data for crystalline ErMgZn2Ir4 at its relaxed geometry.

abc: 4.4411 4.4411 6.3229
angles: 90.00 90.00 90.00
Atoms (fractional coordinates):
Er  0.0000  0.0000  0.5000
Ir  0.5000  0.0000  0.2335
Ir  0.0000  0.5000  0.2335
Ir  0.5000  0.0000  0.7665
Ir  0.0000  0.5000  0.7665
Mg  0.5000  0.5000  0.0000
Zn  0.0000  0.0000  0.0000
Zn  0.5000  0.5000  0.5000

## Properties
Total energy ... -5.83 eV per atom
SG ... P4/mmm, No. 123

=====

Record 3
## Er3Lu2ScTe2Os (GGA-PBE)

Data for crystalline Er3Lu2ScTe2Os at its relaxed geometry.

abc: 4.0046 8.0434 8.0434
angles: 119.24 90.00 90.00
Atoms (fractional coordinates):
Er  0.0000  0.3834  0.0011
Er  0.0000  0.0011  0.3834
Er  0.0000  0.6019  0.6019
Lu  0.5000  0.9954  0.7632
Lu  0.5000  0.7632  0.9954
Os  0.0000  0.0229  0.0229
Sc  0.5000  0.2369  0.2369
Te  0.5000  0.6622  0.3329
Te  0.5000  0.3329  0.6622

## Properties
Total energy ... -5.92 eV per atom
SG ... Amm2, No. 38